The following is a PBE-GGA calculation of an optimized crystal structure of GaSiSe, from Alexandria via LeMat-Bulk.

Values from the calculation:
Its total energy is -24.15 eV/cell. For the mass density, the calculation gives 4.51 g cm⁻³. The formation energy (no corrections) comes out at -0.047 eV per atom.

a = 3.4286 Å, b = 5.1113 Å, c = 7.4250 Å
α = 90.00°, β = 90.00°, γ = 90.00°
Element x y z (fractional)
1 Ga 0.0000 0.0489 0.0000
2 Ga 0.5000 0.9511 0.5000
3 Si 0.0000 0.2176 0.6886
4 Si 0.5000 0.7824 0.1886
5 Se 0.0000 0.4461 0.2245
6 Se 0.5000 0.5539 0.7245